Entry 1:
A plane-wave DFT calculation with PBE was carried out for La2Te after structural relaxation.

Values from the calculation:
Crystal system   monoclinic
Calculated volume   33.19 Å³/atom
Mass density   6.76 g/cm3
Magnetization   0.2 μB per cell
DFT total energy   -5.285 eV per atom

Lattice parameters (Å, degrees): 6.2953 6.2953 8.2685 82.71 82.71 37.82
Fractional positions:
La 0.9569 0.9569 0.9746
La 0.6867 0.6867 0.6911
Te 0.2391 0.2391 0.9839
La 0.3487 0.3487 0.3501
La 0.6144 0.6144 0.2612
Te 0.9876 0.9876 0.5725

Entry 2:
A plane-wave DFT calculation with PBE was carried out for InReSi2 after structural relaxation.

Values from the calculation:
Crystal system   tetragonal
Calculated volume   15.91 Å³/atom
Mass density   9.32 g/cm3
Magnetization   0.0 μB per cell
DFT total energy   -5.844 eV per atom

Lattice parameters (Å, degrees): 4.9297 4.9297 4.9297 132.62 132.62 69.25
Fractional positions:
In 0.5000 0.5000 0.0000
Re 0.7500 0.2500 0.5000
Si 0.0000 0.0000 0.0000
Si 0.2500 0.7500 0.5000

Entry 3:
A plane-wave DFT calculation with PBE was carried out for SrAcCdAu after structural relaxation.

Values from the calculation:
Crystal system   cubic
Calculated volume   31.15 Å³/atom
Polymorph energy (0 for the lowest one)   33.4 meV per atom
Mass density   8.32 g/cm3
Magnetization   0.0 μB per cell
Formation energy   -2.02 eV per formula unit
DFT total energy   -3.001 eV per atom

Lattice parameters (Å, degrees): 5.6065 5.6065 5.6065 60.00 60.00 60.00
Fractional positions:
Sr 0.0000 0.0000 0.0000
Au 0.2500 0.2500 0.2500
Cd 0.7500 0.7500 0.7500
Ac 0.5000 0.5000 0.5000

Entry 4:
A plane-wave DFT calculation with PBE was carried out for Cs3Tb2DyTe6 after structural relaxation.

Values from the calculation:
Crystal system   monoclinic
Calculated volume   40.24 Å³/atom
Mass density   5.66 g/cm3
Magnetization   0.0 μB per cell
DFT total energy   -4.331 eV per atom

Lattice parameters (Å, degrees): 7.9051 7.9051 9.3040 98.15 98.15 120.00
Fractional positions:
Dy 0.0000 0.0000 0.0000
Tb 0.6666 0.3334 0.0000
Te 0.2689 0.2689 0.8098
Cs 0.5000 0.5000 0.5000
Te 0.3957 0.0633 0.1900
Te 0.0633 0.3957 0.1900
Te 0.9367 0.6043 0.8100
Cs 0.1671 0.8329 0.5000
Te 0.6043 0.9367 0.8100
Te 0.7311 0.7311 0.1902
Cs 0.8329 0.1671 0.5000
Tb 0.3334 0.6666 0.0000

Entry 5:
A plane-wave DFT calculation with PBE was carried out for HfGaP2S after structural relaxation.

Values from the calculation:
Crystal system   tetragonal
Calculated volume   24.96 Å³/atom
Polymorph energy (0 for the lowest one)   0.0 meV per atom
Mass density   4.55 g/cm3
Magnetization   0.0 μB per cell
DFT total energy   -5.568 eV per atom

Lattice parameters (Å, degrees): 5.0288 5.0288 4.9342 90.00 90.00 90.00
Fractional positions:
Hf 0.0000 0.0000 0.0000
Ga 0.5000 0.5000 0.5000
S 0.0000 0.0000 0.5000
P 0.5000 0.0000 0.0000
P 0.0000 0.5000 0.0000

Entry 6:
A plane-wave DFT calculation with PBE was carried out for Sn2BiBr after structural relaxation.

Values from the calculation:
Crystal system   trigonal
Calculated volume   35.37 Å³/atom
Polymorph energy (0 for the lowest one)   22.9 meV per atom
Mass density   6.18 g/cm3
Magnetization   0.0 μB per cell
DFT total energy   -3.522 eV per atom

Lattice parameters (Å, degrees): 4.5356 4.5356 8.3612 74.26 74.26 60.00
Fractional positions:
Br 0.4833 0.4833 0.5500
Bi 0.6686 0.6686 0.9942
Sn 0.2667 0.2667 0.2000
Sn 0.0814 0.0814 0.7558